{
  "formula": "CrCoPb2",
  "functional": "meta-GGA SCAN",
  "state": "single point on PBEsol structure",
  "lattice_angstrom": [[3.350, 0.000, 0.000], [1.675, 2.901, 0.000], [1.675, 0.967, 8.122]],
  "species": ["Pb", "Pb", "Cr", "Co"],
  "frac_coords": [[0.242, 0.242, 0.273], [0.758, 0.758, 0.727], [0.000, 0.000, 0.000], [0.500, 0.500, 0.500]],
  "polymorph_energy_ev_per_atom": 0.153,
  "n_ef_per_ev_cell": 2.85,
  "energy_ry_per_atom": -3.4025,
  "total_magnetization_mub_per_cell": 5.81,
  "formation_energy_ev_per_atom": 0.519
}